Here is TlNiTe3Au after structural relaxation from OQMD via LeMat-Bulk. Energies are from PBE-GGA.

Calculated values
Relative energy among the computed polymorphs = 2.2 kJ/mol of atoms

abc: 11.3717 3.8273 14.6878
angles: 90.00 90.00 90.00
With the nearest neighbours (Å) after each atom.
Atoms (fractional coordinates):
Au  0.7518  0.7500  0.1183  4 Te 2.72-2.94, 2 Tl 2.96
Au  0.2518  0.7500  0.3817  4 Te 2.72-2.94, 2 Tl 2.96
Au  0.7482  0.2500  0.6183  4 Te 2.72-2.94, 2 Tl 2.96
Au  0.2482  0.2500  0.8817  4 Te 2.72-2.94, 2 Tl 2.96
Ni  0.0027  0.2500  0.2473  6 Te 2.57-2.86
Ni  0.5027  0.2500  0.2527  6 Te 2.57-2.86
Ni  0.4973  0.7500  0.7473  6 Te 2.57-2.86
Ni  0.9973  0.7500  0.7527  6 Te 2.57-2.86
Te  0.9904  0.7500  0.1309  2 Ni 2.57, 1 Au 2.72
Te  0.5139  0.7500  0.1367  2 Ni 2.57, 1 Au 2.72
Te  0.2529  0.2500  0.2294  2 Ni 2.86, 2 Au 2.94
Te  0.7529  0.2500  0.2706  2 Ni 2.86, 2 Au 2.94
Te  0.0139  0.7500  0.3633  2 Ni 2.57, 1 Au 2.72
Te  0.4904  0.7500  0.3691  2 Ni 2.57, 1 Au 2.72
Te  0.5096  0.2500  0.6309  2 Ni 2.57, 1 Au 2.72
Te  0.9861  0.2500  0.6367  2 Ni 2.57, 1 Au 2.72
Te  0.2471  0.7500  0.7294  2 Ni 2.86, 2 Au 2.94
Te  0.7471  0.7500  0.7706  2 Ni 2.86, 2 Au 2.94
Te  0.4861  0.2500  0.8633  2 Ni 2.57, 1 Au 2.72
Te  0.0096  0.2500  0.8691  2 Ni 2.57, 1 Au 2.72
Tl  0.2543  0.7500  0.0356  2 Au 2.96, 2 Te 3.30-3.31
Tl  0.7543  0.7500  0.4644  2 Au 2.96, 2 Te 3.30-3.31
Tl  0.2457  0.2500  0.5356  2 Au 2.96, 2 Te 3.30-3.31
Tl  0.7457  0.2500  0.9644  2 Au 2.96, 2 Te 3.30-3.31



Here is TlNiTe3Au after structural relaxation from OQMD via LeMat-Bulk. Energies are from PBE-GGA.

Calculated values
Relative energy among the computed polymorphs = 2.7 kJ/mol of atoms

abc: 8.2264 3.8966 10.3370
angles: 90.00 104.29 90.00
With the nearest neighbours (Å) after each atom.
Atoms (fractional coordinates):
Au  0.0041  0.7500  0.3933  2 Te 2.72-2.80, 2 Au 2.96
Au  0.9959  0.2500  0.6067  2 Te 2.72-2.80, 2 Au 2.96
Ni  0.6695  0.2500  0.1324  6 Te 2.59-2.66
Ni  0.3305  0.7500  0.8676  6 Te 2.59-2.66
Te  0.4585  0.7500  0.1235  3 Ni 2.59-2.60
Te  0.8775  0.7500  0.1238  2 Ni 2.61, 1 Au 2.72
Te  0.7086  0.2500  0.3953  1 Ni 2.66, 1 Au 2.80
Te  0.2914  0.7500  0.6047  1 Ni 2.66, 1 Au 2.80
Te  0.1225  0.2500  0.8762  2 Ni 2.61, 1 Au 2.72
Te  0.5415  0.2500  0.8765  3 Ni 2.59-2.60
Tl  0.2717  0.2500  0.3270  2 Au 3.14, 5 Te 3.44-3.49
Tl  0.7283  0.7500  0.6730  2 Au 3.14, 5 Te 3.44-3.49



Here is TlNiTe3Au after structural relaxation from OQMD via LeMat-Bulk. Energies are from PBE-GGA.

Calculated values
Relative energy among the computed polymorphs = 3.7 kJ/mol of atoms

abc: 14.0807 3.9815 11.5235
angles: 90.00 90.00 90.00
With the nearest neighbours (Å) after each atom.
Atoms (fractional coordinates):
Au  0.9517  0.2500  0.0699  2 Te 2.72-2.82, 2 Au 2.90
Au  0.4517  0.2500  0.4301  2 Te 2.72-2.82, 2 Au 2.90
Au  0.5483  0.7500  0.5699  2 Te 2.72-2.82, 2 Au 2.90
Au  0.0483  0.7500  0.9301  2 Te 2.72-2.82, 2 Au 2.90
Ni  0.4837  0.7500  0.1443  6 Te 2.59-2.71
Ni  0.9837  0.7500  0.3557  6 Te 2.59-2.71
Ni  0.0163  0.2500  0.6443  6 Te 2.59-2.71
Ni  0.5163  0.2500  0.8557  6 Te 2.59-2.71
Te  0.5828  0.2500  0.0676  3 Ni 2.59-2.62
Te  0.0981  0.7500  0.1670  1 Ni 2.71, 1 Au 2.82
Te  0.3770  0.2500  0.2128  2 Ni 2.62, 1 Au 2.72
Te  0.8770  0.2500  0.2872  2 Ni 2.62, 1 Au 2.72
Te  0.5981  0.7500  0.3330  1 Ni 2.71, 1 Au 2.82
Te  0.0828  0.2500  0.4324  3 Ni 2.59-2.62
Te  0.9172  0.7500  0.5676  3 Ni 2.59-2.62
Te  0.4019  0.2500  0.6670  1 Ni 2.71, 1 Au 2.82
Te  0.1230  0.7500  0.7128  2 Ni 2.62, 1 Au 2.72
Te  0.6230  0.7500  0.7872  2 Ni 2.62, 1 Au 2.72
Te  0.9019  0.2500  0.8330  1 Ni 2.71, 1 Au 2.82
Te  0.4172  0.7500  0.9324  3 Ni 2.59-2.62
Tl  0.7841  0.7500  0.0276  2 Au 3.13, 4 Te 3.43-3.49
Tl  0.2841  0.7500  0.4724  2 Au 3.13, 4 Te 3.43-3.49
Tl  0.7159  0.2500  0.5276  2 Au 3.13, 4 Te 3.43-3.49
Tl  0.2159  0.2500  0.9724  2 Au 3.13, 4 Te 3.43-3.49



Here is ThNiAu after structural relaxation from OQMD via LeMat-Bulk. Energies are from PBE-GGA.

Calculated values
Electronic total energy = -17.65 eV for the cell shown

abc: 4.5592 4.5592 4.5592
angles: 60.00 60.00 60.00
With the nearest neighbours (Å) after each atom.
Atoms (fractional coordinates):
Au  0.7500  0.7500  0.7500  4 Ni 2.79
Ni  0.0000  0.0000  0.0000  4 Th 2.79, 4 Au 2.79
Th  0.2500  0.2500  0.2500  4 Ni 2.79



Here is Th2Ni2Au after structural relaxation from OQMD via LeMat-Bulk. Energies are from PBE-GGA.

Calculated values
Electronic total energy = -64.54 eV for the cell shown

abc: 7.4410 7.4410 3.7345
angles: 90.00 90.00 90.00
With the nearest neighbours (Å) after each atom.
Atoms (fractional coordinates):
Au  0.0000  0.0000  0.0000  4 Ni 2.96
Au  0.5000  0.5000  0.0000  4 Ni 2.96
Ni  0.6219  0.1219  0.0000  1 Ni 2.57, 2 Th 2.82
Ni  0.1219  0.3781  0.0000  1 Ni 2.57, 2 Th 2.82
Ni  0.8781  0.6219  0.0000  1 Ni 2.57, 2 Th 2.82
Ni  0.3781  0.8781  0.0000  1 Ni 2.57, 2 Th 2.82
Th  0.3231  0.1769  0.5000  6 Ni 2.82-2.93
Th  0.8231  0.3231  0.5000  6 Ni 2.82-2.93
Th  0.1769  0.6769  0.5000  6 Ni 2.82-2.93
Th  0.6769  0.8231  0.5000  6 Ni 2.82-2.93



Here is NiWAu2 after structural relaxation from OQMD via LeMat-Bulk. Energies are from PBE-GGA.

Calculated values
Relative energy among the computed polymorphs = 0.0 kJ/mol of atoms

abc: 4.4683 4.4683 4.4683
angles: 60.00 60.00 60.00
With the nearest neighbours (Å) after each atom.
Atoms (fractional coordinates):
Au  0.2500  0.2500  0.2500  4 W 2.74, 4 Ni 2.74
Au  0.7500  0.7500  0.7500  4 Ni 2.74, 4 W 2.74
Ni  0.5000  0.5000  0.5000  8 Au 2.74
W  0.0000  0.0000  0.0000  8 Au 2.74



Here is NiWAu2 after structural relaxation from OQMD via LeMat-Bulk. Energies are from PBE-GGA.

Calculated values
Relative energy among the computed polymorphs = 0.4 kJ/mol of atoms

abc: 4.4530 4.4530 4.4530
angles: 60.00 60.00 60.00
With the nearest neighbours (Å) after each atom.
Atoms (fractional coordinates):
Au  0.0000  0.0000  0.0000  4 W 2.73, 4 Au 2.73
Au  0.7500  0.7500  0.7500  4 Au 2.73, 4 Ni 2.73
Ni  0.5000  0.5000  0.5000  4 W 2.73, 4 Au 2.73
W  0.2500  0.2500  0.2500  4 Ni 2.73, 4 Au 2.73



Here is NiWAu2 after structural relaxation from OQMD via LeMat-Bulk. Energies are from PBE-GGA.

Calculated values
Relative energy among the computed polymorphs = 0.4 kJ/mol of atoms

abc: 4.4539 4.4539 4.4539
angles: 60.00 60.00 60.00
With the nearest neighbours (Å) after each atom.
Atoms (fractional coordinates):
Au  0.0000  0.0000  0.0000  4 Ni 2.73, 4 Au 2.73
Au  0.7500  0.7500  0.7500  4 W 2.73, 4 Au 2.73
Ni  0.2500  0.2500  0.2500  4 Au 2.73, 4 W 2.73
W  0.5000  0.5000  0.5000  4 Au 2.73, 4 Ni 2.73